This record from Alexandria via LeMat-Bulk describes Be7Zn at its PBEsol-relaxed geometry. The functional is meta-GGA SCAN.

## Properties
Total magnetization ... 0.000 μB/atom
VASP energy ... -5.35 eV per atom
Energy of formation ... 0.149 eV per atom
SG ... Fm-3m, No. 225

Cell: 4.6074 4.6074 4.6074 Å, 60.00 60.00 60.00°
Fractional coordinates of all 8 atoms:
1 Be 0.0000 0.0000 0.0000
2 Be 0.0000 0.0000 0.5000
3 Be 0.0000 0.5000 0.0000
4 Be 0.0000 0.5000 0.5000
5 Be 0.5000 0.0000 0.0000
6 Be 0.5000 0.0000 0.5000
7 Be 0.5000 0.5000 0.0000
8 Zn 0.5000 0.5000 0.5000

=====

This record from Alexandria via LeMat-Bulk describes La2NbZnBi at its PBEsol-relaxed geometry. The functional is meta-GGA SCAN.

## Properties
Total magnetization ... 0.000 μB/atom
VASP energy ... -42.08 eV per atom
Energy of formation ... 0.206 eV per atom
SG ... P4/mmm, No. 123

Cell: 5.5153 5.5153 5.3855 Å, 90.00 90.00 90.00°
Fractional coordinates of all 5 atoms:
1 La 0.0000 0.5000 0.0000
2 La 0.5000 0.0000 0.0000
3 Nb 0.0000 0.0000 0.0000
4 Zn 0.5000 0.5000 0.5000
5 Bi 0.0000 0.0000 0.5000

=====

This record from Alexandria via LeMat-Bulk describes GdAl4Ni at its PBEsol-relaxed geometry. The functional is meta-GGA SCAN.

## Properties
Total magnetization ... 1.203 μB/atom
VASP energy ... -18.26 eV per atom
Energy of formation ... -0.593 eV per atom
SG ... Cmcm, No. 63

Cell: 7.9529 7.9529 6.5245 Å, 90.00 90.00 150.47°
Fractional coordinates of all 12 atoms:
1 Gd 0.1168 0.8832 0.7500
2 Gd 0.8832 0.1168 0.2500
3 Al 0.0764 0.9236 0.2500
4 Al 0.3107 0.6893 0.5518
5 Al 0.3107 0.6893 0.9482
6 Al 0.5000 0.5000 0.0000
7 Al 0.5000 0.5000 0.5000
8 Al 0.6893 0.3107 0.0518
9 Al 0.6893 0.3107 0.4482
10 Al 0.9236 0.0764 0.7500
11 Ni 0.2255 0.7745 0.2500
12 Ni 0.7745 0.2255 0.7500

=====

This record from Alexandria via LeMat-Bulk describes CrCo3P4O16 at its PBEsol-relaxed geometry. The functional is meta-GGA SCAN.

## Properties
Total magnetization ... 0.125 μB/atom
VASP energy ... -10.86 eV per atom
SG ... Pm, No. 6
ΔE_f (raw) ... -49.15 eV per formula unit

Cell: 4.6353 5.5721 9.6261 Å, 90.00 91.14 90.00°
Fractional coordinates of all 24 atoms:
1 Cr 0.0000 0.0000 0.0000
2 Co 0.0800 0.5000 0.5434
3 Co 0.4987 0.5000 0.0399
4 Co 0.6124 0.0000 0.5012
5 P 0.1491 0.0000 0.6794
6 P 0.4397 0.0000 0.1836
7 P 0.6341 0.5000 0.3688
8 P 0.9445 0.5000 0.8550
9 O 0.2216 0.0000 0.8357
10 O 0.2688 0.5000 0.8758
11 O 0.2765 0.2104 0.1038
12 O 0.2765 0.7896 0.1038
13 O 0.2968 0.2181 0.6051
14 O 0.2968 0.7819 0.6051
15 O 0.3098 0.5000 0.3868
16 O 0.3789 0.0000 0.3378
17 O 0.7052 0.5000 0.2163
18 O 0.7612 0.0000 0.1572
19 O 0.7992 0.2844 0.9362
20 O 0.7992 0.7156 0.9362
21 O 0.8025 0.2890 0.4487
22 O 0.8025 0.7110 0.4487
23 O 0.8187 0.0000 0.6654
24 O 0.8527 0.5000 0.7027

=====

This record from Alexandria via LeMat-Bulk describes SbAsI2O at its PBEsol-relaxed geometry. The functional is meta-GGA SCAN.

## Properties
Total magnetization ... 0.000 μB/atom
VASP energy ... -26.78 eV per atom
SG ... P4/mmm, No. 123
ΔE_f (raw) ... 3.26 eV per formula unit

Cell: 5.0762 5.0762 4.5371 Å, 90.00 90.00 90.00°
Fractional coordinates of all 5 atoms:
1 Sb 0.0000 0.0000 0.0000
2 As 0.5000 0.5000 0.0000
3 I 0.0000 0.5000 0.5000
4 I 0.5000 0.0000 0.5000
5 O 0.0000 0.0000 0.5000

=====

This record from Alexandria via LeMat-Bulk describes ZrNi2As at its PBEsol-relaxed geometry. The functional is meta-GGA SCAN.

## Properties
Total magnetization ... 0.000 μB/atom
VASP energy ... -21.31 eV per atom
Energy of formation ... -0.496 eV per atom
SG ... P2/m, No. 10

Cell: 3.0941 3.9141 4.9086 Å, 90.00 90.08 90.00°
Fractional coordinates of all 4 atoms:
1 Zr 0.0000 0.0000 0.0000
2 Ni 0.4994 0.5000 0.7587
3 Ni 0.5006 0.5000 0.2413
4 As 0.5000 0.0000 0.5000

=====

This record from Alexandria via LeMat-Bulk describes Y2HgSb at its PBEsol-relaxed geometry. The functional is meta-GGA SCAN.

## Properties
Offset from the most stable computed form ... 195 meV/atom
Total magnetization ... 0.000 μB/atom
VASP energy ... -41.05 eV per atom
SG ... Fm-3m, No. 225
ΔE_f (raw) ... -3.07 eV per formula unit

Cell: 5.2142 5.2142 5.2142 Å, 60.00 60.00 60.00°
Fractional coordinates of all 4 atoms:
1 Y 0.2500 0.2500 0.2500
2 Y 0.7500 0.7500 0.7500
3 Hg 0.0000 0.0000 0.0000
4 Sb 0.5000 0.5000 0.5000

=====

This record from Alexandria via LeMat-Bulk describes ScTlC2 at its PBEsol-relaxed geometry. The functional is meta-GGA SCAN.

## Properties
Total magnetization ... 0.000 μB/atom
VASP energy ... -25.47 eV per atom
Energy of formation ... 1.230 eV per atom
SG ... I-42d, No. 122

Cell: 6.9045 6.9045 6.9045 Å, 140.58 140.58 56.97°
Fractional coordinates of all 8 atoms:
1 Sc 0.0000 0.0000 0.0000
2 Sc 0.7500 0.2500 0.5000
3 Tl 0.2500 0.7500 0.5000
4 Tl 0.5000 0.5000 0.0000
5 C 0.1123 0.6250 0.9873
6 C 0.3750 0.3623 0.4873
7 C 0.6377 0.1250 0.0127
8 C 0.8750 0.8877 0.5127

=====

This record from Alexandria via LeMat-Bulk describes MnZn2Ag at its PBEsol-relaxed geometry. The functional is meta-GGA SCAN.

## Properties
Total magnetization ... 0.908 μB/atom
VASP energy ... -19.22 eV per atom
Energy of formation ... -0.057 eV per atom
SG ... P4/mmm, No. 123

Cell: 3.9877 3.9877 3.5734 Å, 90.00 90.00 90.00°
Fractional coordinates of all 4 atoms:
1 Mn 0.0000 0.0000 0.0000
2 Zn 0.0000 0.5000 0.5000
3 Zn 0.5000 0.0000 0.5000
4 Ag 0.5000 0.5000 0.0000

=====

This record from Alexandria via LeMat-Bulk describes LaMgTl2Cd at its PBEsol-relaxed geometry. The functional is meta-GGA SCAN.

## Properties
Total magnetization ... 0.117 μB/atom
VASP energy ... -43.96 eV per atom
Energy of formation ... 0.682 eV per atom
SG ... P4/mmm, No. 123

Cell: 5.9829 5.9829 5.9294 Å, 90.00 90.00 90.00°
Fractional coordinates of all 5 atoms:
1 La 0.0000 0.0000 0.0000
2 Mg 0.5000 0.5000 0.5000
3 Tl 0.0000 0.5000 0.0000
4 Tl 0.5000 0.0000 0.0000
5 Cd 0.0000 0.0000 0.5000

=====

Q: Among the records above, which one has the lowest VASP energy?
A: LaMgTl2Cd

=====

Q: The highest total magnetization belongs to which entry?
A: GdAl4Ni